A plane-wave DFT calculation with PBE-GGA was carried out for KCrCl4 after structural relaxation.

Cell and atoms, written as POSCAR:
```
KCrCl4
1.0
-3.871 -0.998 -5.101
-0.537 -4.113 -2.905
-6.911 -3.644 1.840
K Cr Cl
1 1 4
Direct
0.500 0.500 0.000
0.000 0.000 0.500
0.691 0.552 0.566
0.940 0.812 0.808
0.060 0.188 0.192
0.309 0.448 0.434
```

Results
Space-group type: No. 12
Relative energy among the computed polymorphs (eV per atom): 0.094
Total DFT energy (no corrections) (eV/atom): -4.18
Total magnetic moment (Bohr magnetons per cell): 3.000
Formation energy without anion corrections (eV/atom): -1.162
N(E_F) (states/eV per cell): 8.7
V (Å³ per atom): 30.7